Entry 1:
Entry from Alexandria: K2PH3SeO8 after structural relaxation (PBEsol).

Structure (CIF):
```
data_K2PH3SeO8
_symmetry_space_group_name_H-M 'P 1'
_symmetry_Int_Tables_number 1
_cell_length_a 7.186
_cell_length_b 7.498
_cell_length_c 9.518
_cell_angle_alpha 90.00
_cell_angle_beta 128.55
_cell_angle_gamma 90.00
loop_
_symmetry_equiv_pos_as_xyz
'x,y,z'
loop_
_atom_site_label
_atom_site_fract_x
_atom_site_fract_y
_atom_site_fract_z
K1 0.000 0.044 0.000
K2 0.000 0.956 0.500
K3 0.795 0.445 0.590
K4 0.795 0.555 0.090
P1 0.553 0.037 0.042
P2 0.553 0.963 0.542
H1 0.290 0.188 0.401
H2 0.290 0.812 0.901
H3 0.426 0.238 0.822
H4 0.426 0.762 0.322
H5 0.529 0.256 0.192
H6 0.529 0.744 0.692
Se1 0.258 0.458 0.554
Se2 0.258 0.542 0.054
O1 0.040 0.398 0.966
O2 0.040 0.602 0.466
O3 0.217 0.288 0.647
O4 0.217 0.712 0.147
O5 0.258 0.374 0.390
O6 0.258 0.626 0.890
O7 0.301 0.046 0.395
O8 0.301 0.954 0.895
O9 0.524 0.449 0.208
O10 0.524 0.551 0.708
O11 0.549 0.117 0.194
O12 0.549 0.883 0.694
O13 0.580 0.200 0.952
O14 0.580 0.800 0.452
O15 0.754 0.093 0.624
O16 0.754 0.907 0.124
```

Calculated volume in Å³/cell: 401.1
Total DFT energy (no corrections) in hartree per atom: -0.2124
Space-group type: No. 7

=====

Entry 2:
Entry from Alexandria: Li2CdIn after structural relaxation (PBEsol).

Structure (CIF):
```
data_Li2CdIn
_symmetry_space_group_name_H-M 'P 1'
_symmetry_Int_Tables_number 1
_cell_length_a 3.096
_cell_length_b 3.096
_cell_length_c 28.530
_cell_angle_alpha 90.00
_cell_angle_beta 90.00
_cell_angle_gamma 120.00
loop_
_symmetry_equiv_pos_as_xyz
'x,y,z'
loop_
_atom_site_label
_atom_site_fract_x
_atom_site_fract_y
_atom_site_fract_z
Li1 0.000 0.000 0.249
Li2 0.000 0.000 0.751
Li3 0.333 0.667 0.417
Li4 0.333 0.667 0.916
Li5 0.667 0.333 0.084
Li6 0.667 0.333 0.583
Cd1 0.000 0.000 0.500
Cd2 0.333 0.667 0.167
Cd3 0.667 0.333 0.833
In1 0.000 0.000 0.000
In2 0.333 0.667 0.667
In3 0.667 0.333 0.333
```

Calculated volume in Å³/cell: 236.8
Energy relative to the elements in meV per atom: -177.0
Total DFT energy (no corrections) in hartree per atom: -0.0810
Space-group type: No. 166

=====

Entry 3:
Entry from Alexandria: ZrSc2Cr after structural relaxation (PBEsol).

Structure (CIF):
```
data_ZrSc2Cr
_symmetry_space_group_name_H-M 'P 1'
_symmetry_Int_Tables_number 1
_cell_length_a 6.854
_cell_length_b 6.854
_cell_length_c 6.854
_cell_angle_alpha 90.00
_cell_angle_beta 90.00
_cell_angle_gamma 90.00
loop_
_symmetry_equiv_pos_as_xyz
'x,y,z'
loop_
_atom_site_label
_atom_site_fract_x
_atom_site_fract_y
_atom_site_fract_z
Zr1 0.000 0.000 0.000
Zr2 0.000 0.500 0.500
Zr3 0.500 0.000 0.500
Zr4 0.500 0.500 0.000
Sc1 0.250 0.250 0.250
Sc2 0.250 0.250 0.750
Sc3 0.250 0.750 0.250
Sc4 0.250 0.750 0.750
Sc5 0.750 0.250 0.250
Sc6 0.750 0.250 0.750
Sc7 0.750 0.750 0.250
Sc8 0.750 0.750 0.750
Cr1 0.000 0.000 0.500
Cr2 0.000 0.500 0.000
Cr3 0.500 0.000 0.000
Cr4 0.500 0.500 0.500
```

Calculated volume in Å³/cell: 322.0
Energy relative to the elements in meV per atom: 328.7
Total DFT energy (no corrections) in hartree per atom: -0.2869
Polymorph energy (0 for the lowest one) in meV/atom: 66.4
Space-group type: No. 225

=====

Entry 4:
Entry from Alexandria: Li2Ge2Pd after structural relaxation (PBEsol).

Structure (CIF):
```
data_Li2Ge2Pd
_symmetry_space_group_name_H-M 'P 1'
_symmetry_Int_Tables_number 1
_cell_length_a 6.347
_cell_length_b 6.347
_cell_length_c 3.940
_cell_angle_alpha 90.00
_cell_angle_beta 90.00
_cell_angle_gamma 90.00
loop_
_symmetry_equiv_pos_as_xyz
'x,y,z'
loop_
_atom_site_label
_atom_site_fract_x
_atom_site_fract_y
_atom_site_fract_z
Li1 0.169 0.331 0.000
Li2 0.331 0.831 0.000
Li3 0.669 0.169 0.000
Li4 0.831 0.669 0.000
Ge1 0.136 0.636 0.500
Ge2 0.364 0.136 0.500
Ge3 0.636 0.864 0.500
Ge4 0.864 0.364 0.500
Pd1 0.000 0.000 0.500
Pd2 0.500 0.500 0.500
```

Calculated volume in Å³/cell: 158.7
Energy relative to the elements in meV per atom: -425.1
Total DFT energy (no corrections) in hartree per atom: -0.1609
Space-group type: No. 127